{
  "formula": "ZnMo4As",
  "functional": "PBE",
  "state": "optimized geometry",
  "lattice_angstrom": [[0.000, 3.716, 3.716], [3.716, 0.000, 3.716], [3.716, 3.716, 0.000]],
  "species": ["Zn", "Mo", "Mo", "Mo", "Mo", "As"],
  "fractional_positions": [[0.750, 0.750, 0.750], [0.871, 0.376, 0.376], [0.376, 0.376, 0.871], [0.376, 0.871, 0.376], [0.376, 0.376, 0.376], [0.000, 0.000, 0.000]],
  "energy_ry_per_atom": -0.561,
  "magmom_total_mub_per_fu": 0.00,
  "mass_density_g_cm3": 8.480,
  "spacegroup": "F-43m"
}